(1)
Entry from Alexandria via LeMat-Bulk: a geometry-optimized LaCeEuTm structure (GGA-PBE). Values from VASP.

```
&SYSTEM
  ibrav = 0, nat = 4, ntyp = 4
/
ATOMIC_SPECIES
La 138.91 La.upf
Ce 140.12 Ce.upf
Eu 151.96 Eu.upf
Tm 168.93 Tm.upf
ATOMIC_POSITIONS crystal
La 0.000 0.000 0.000
Ce 0.250 0.250 0.250
Eu 0.750 0.750 0.750
Tm 0.500 0.500 0.500
CELL_PARAMETERS angstrom
0.000 4.116 4.116
4.116 0.000 4.116
4.116 4.116 0.000
```

## Properties
DOS at the Fermi energy ... 11.53 states/eV/f.u.
Total magnetization ... 9.5 μB/f.u.
Total energy ... -6.16 eV per atom

(2)
Entry from Alexandria via LeMat-Bulk: a geometry-optimized AcSnI5 structure (GGA-PBE). Values from VASP.

```
&SYSTEM
  ibrav = 0, nat = 14, ntyp = 3
/
ATOMIC_SPECIES
Ac 227.00 Ac.upf
Sn 118.71 Sn.upf
I 126.90 I.upf
ATOMIC_POSITIONS crystal
Ac 0.092 0.250 0.153
Ac 0.908 0.750 0.847
Sn 0.402 0.750 0.373
Sn 0.598 0.250 0.627
I 0.121 0.250 0.787
I 0.157 0.250 0.373
I 0.188 0.750 0.013
I 0.365 0.750 0.569
I 0.437 0.250 0.193
I 0.563 0.750 0.807
I 0.635 0.250 0.431
I 0.812 0.250 0.987
I 0.843 0.750 0.627
I 0.879 0.750 0.213
CELL_PARAMETERS angstrom
9.298 0.000 0.000
0.000 4.730 0.000
-1.201 0.000 15.425
```

## Properties
DOS at the Fermi energy ... 0.00 states/eV/f.u.
Total magnetization ... 0.0 μB/f.u.
Total energy ... -3.33 eV per atom